Density functional theory data (GGA-PBE) for crystalline K2NaHg4 at its relaxed geometry.

Output
Formation enthalpy at 0 K, eV per atom: -0.1836
SG: C2/m (12)
Crystal system: monoclinic
Magnetic moment, μB per formula unit: 0.0

abc: 8.7457 5.0576 12.4381
angles: 90.00 90.04 90.00
Atoms (fractional coordinates):
K 0.1669 0.0000 0.3572
K 0.3331 0.5000 0.6428
K 0.6669 0.5000 0.3572
K 0.8331 0.0000 0.6428
Na 0.0000 0.5000 0.0000
Na 0.5000 0.0000 0.0000
Hg 0.1665 0.0000 0.0848
Hg 0.1670 0.0000 0.8189
Hg 0.3330 0.5000 0.1811
Hg 0.3335 0.5000 0.9152
Hg 0.6665 0.5000 0.0848
Hg 0.6670 0.5000 0.8189
Hg 0.8330 0.0000 0.1811
Hg 0.8335 0.0000 0.9152



Density functional theory data (GGA-PBE) for crystalline LiTc2Os at its relaxed geometry.

Output
Formation enthalpy at 0 K, eV per atom: 0.2030
SG: F-43m (216)
Crystal system: cubic
Magnetic moment, μB per formula unit: 0.0

abc: 6.0335 6.0335 6.0335
angles: 90.00 90.00 90.00
Atoms (fractional coordinates):
Li 0.0000 0.0000 0.0000
Li 0.0000 0.5000 0.5000
Li 0.5000 0.0000 0.5000
Li 0.5000 0.5000 0.0000
Tc 0.0000 0.0000 0.5000
Tc 0.0000 0.5000 0.0000
Tc 0.2500 0.2500 0.7500
Tc 0.2500 0.7500 0.2500
Tc 0.5000 0.0000 0.0000
Tc 0.5000 0.5000 0.5000
Tc 0.7500 0.2500 0.2500
Tc 0.7500 0.7500 0.7500
Os 0.2500 0.2500 0.2500
Os 0.2500 0.7500 0.7500
Os 0.7500 0.2500 0.7500
Os 0.7500 0.7500 0.2500



Density functional theory data (GGA-PBE) for crystalline HfCrPd at its relaxed geometry.

Output
Formation enthalpy at 0 K, eV per atom: -0.2890
SG: P4/nmm (129)
Crystal system: tetragonal
Magnetic moment, μB per formula unit: 0.0

abc: 3.1695 3.1695 9.5960
angles: 90.00 90.00 90.00
Atoms (fractional coordinates):
Hf 0.2500 0.2500 0.2434
Hf 0.7500 0.7500 0.7566
Cr 0.2500 0.2500 0.9344
Cr 0.7500 0.7500 0.0656
Pd 0.2500 0.2500 0.5951
Pd 0.7500 0.7500 0.4049



Density functional theory data (GGA-PBE) for crystalline AlCuGe at its relaxed geometry.

Output
Formation enthalpy at 0 K, eV per atom: 0.0483
SG: P1 (1)
Crystal system: triclinic
Magnetic moment, μB per formula unit: 0.0

abc: 3.9011 4.6816 6.4430
angles: 78.30 73.91 67.26
Atoms (fractional coordinates):
Al 0.0000 0.0000 0.0000
Al 0.3379 0.8349 0.4158
Cu 0.6573 0.5872 0.0620
Cu 0.6852 0.8983 0.7157
Ge 0.3385 0.4693 0.8004
Ge 0.6736 0.2191 0.3763



Density functional theory data (GGA-PBE) for crystalline K2ZnAsS4 at its relaxed geometry.

Output
SG: Fddd (70)
VASP energy, eV per atom: -3.726
Crystal system: orthorhombic
Magnetic moment, μB per formula unit: 0.4

abc: 13.2841 11.7968 7.4210
angles: 84.18 62.06 33.76
Atoms (fractional coordinates):
K 0.0554 0.0554 0.6946
K 0.3054 0.3054 0.9446
K 0.6946 0.6946 0.0554
K 0.9446 0.9446 0.3054
Zn 0.1250 0.1250 0.1250
Zn 0.8750 0.8750 0.8750
As 0.3750 0.3750 0.3750
As 0.6250 0.6250 0.6250
S 0.0232 0.3332 0.4251
S 0.2815 0.5749 0.6668
S 0.3332 0.0232 0.7185
S 0.4251 0.7185 0.0232
S 0.5749 0.2815 0.9768
S 0.6668 0.9768 0.2815
S 0.7185 0.4251 0.3332
S 0.9768 0.6668 0.5749



Density functional theory data (GGA-PBE) for crystalline YBiSe3 at its relaxed geometry.

Output
SG: Pm-3m (221)
VASP energy, eV per atom: -4.564
Crystal system: cubic
Magnetic moment, μB per formula unit: 0.0

abc: 5.4178 5.4178 5.4178
angles: 90.00 90.00 90.00
Atoms (fractional coordinates):
Y 0.0000 0.0000 0.0000
Bi 0.5000 0.5000 0.5000
Se 0.0000 0.0000 0.5000
Se 0.0000 0.5000 0.0000
Se 0.5000 0.0000 0.0000



Density functional theory data (GGA-PBE) for crystalline Sr2TlRh at its relaxed geometry.

Output
Formation enthalpy at 0 K, eV per atom: -0.2451
SG: C2 (5)
Crystal system: monoclinic
Magnetic moment, μB per formula unit: 0.0

abc: 10.0171 6.4652 4.4621
angles: 90.00 116.31 90.00
Atoms (fractional coordinates):
Sr 0.2030 0.0000 0.2033
Sr 0.2970 0.5000 0.7967
Sr 0.7030 0.5000 0.2033
Sr 0.7970 0.0000 0.7967
Tl 0.0000 0.4855 0.0000
Tl 0.5000 0.9855 0.0000
Rh 0.0000 0.2342 0.5000
Rh 0.5000 0.7342 0.5000



Density functional theory data (GGA-PBE) for crystalline SrMg2Se at its relaxed geometry.

Output
SG: I-42d (122)
VASP energy, eV per atom: -2.690
Crystal system: tetragonal
Magnetic moment, μB per formula unit: 0.0

abc: 8.8489 8.8489 6.0799
angles: 90.00 90.00 90.00
Atoms (fractional coordinates):
Sr 0.0000 0.0000 0.0000
Sr 0.0000 0.5000 0.2500
Sr 0.5000 0.0000 0.7500
Sr 0.5000 0.5000 0.5000
Mg 0.1857 0.7500 0.6250
Mg 0.2500 0.1857 0.3750
Mg 0.2500 0.3143 0.8750
Mg 0.3143 0.7500 0.1250
Mg 0.6857 0.2500 0.1250
Mg 0.7500 0.6857 0.8750
Mg 0.7500 0.8143 0.3750
Mg 0.8143 0.2500 0.6250
Se 0.0000 0.0000 0.5000
Se 0.0000 0.5000 0.7500
Se 0.5000 0.0000 0.2500
Se 0.5000 0.5000 0.0000



Density functional theory data (GGA-PBE) for crystalline PrB2S6 at its relaxed geometry.

Output
SG: C2/c (15)
VASP energy, eV per atom: -5.374
Crystal system: monoclinic
Magnetic moment, μB per formula unit: 0.0

abc: 8.1772 8.1772 5.7540
angles: 102.93 102.93 81.84
Atoms (fractional coordinates):
Pr 0.1969 0.8031 0.7500
Pr 0.8031 0.1969 0.2500
B 0.2284 0.3270 0.8010
B 0.3270 0.2284 0.3010
B 0.6730 0.7716 0.6990
B 0.7716 0.6730 0.1990
S 0.0622 0.5148 0.8623
S 0.1008 0.1385 0.6627
S 0.1385 0.1008 0.1627
S 0.3109 0.4114 0.5710
S 0.4114 0.3109 0.0710
S 0.4852 0.9378 0.6377
S 0.5148 0.0622 0.3623
S 0.5886 0.6891 0.9290
S 0.6891 0.5886 0.4290
S 0.8615 0.8992 0.8373
S 0.8992 0.8615 0.3373
S 0.9378 0.4852 0.1377



Density functional theory data (GGA-PBE) for crystalline Eu2PuTl at its relaxed geometry.

Output
Formation enthalpy at 0 K, eV per atom: -0.0433
SG: P4/mmm (123)
Crystal system: tetragonal
Magnetic moment, μB per formula unit: 21.6

abc: 3.7393 3.7393 9.3867
angles: 90.00 90.00 90.00
Atoms (fractional coordinates):
Eu 0.0000 0.0000 0.2300
Eu 0.0000 0.0000 0.7700
Pu 0.5000 0.5000 0.5000
Tl 0.5000 0.5000 0.0000